Density functional theory data (PBE-GGA) for crystalline NaGa3Co at its relaxed geometry.

Cell lengths 4.5941, 4.5941, 4.5941 Å; angles 90.00, 90.00, 90.00 degrees
With the nearest neighbours (Å) after each atom.
Element x y z (fractional)
Co 0.0000 0.0000 0.0000  6 Ga 2.30
Ga 0.5000 0.0000 0.0000  2 Co 2.30
Ga 0.0000 0.0000 0.5000  2 Co 2.30
Ga 0.0000 0.5000 0.0000  2 Co 2.30
Na 0.5000 0.5000 0.5000  12 Ga 3.25

Properties
As for the relative energy among the computed polymorphs: 0.000 eV per atom. Its symmetry is Pm-3m (221). As for the density: 5.0 g/cm³. Its formation energy is -180 meV/atom.